No. 1
Entry from Alexandria via LeMat-Bulk: an optimized crystal structure of CaPm2NdAs4 (GGA-PBE).

Results
DOS(E_F), states/eV/cell: 4.49
V, Å³/atom: 27.22
Energy relative to the elements, meV/atom: -1355
Crystal system: monoclinic

Structure (CIF):
```
data_CaPm2NdAs4
_cell_length_a 7.3627
_cell_length_b 4.2520
_cell_length_c 7.3762
_cell_angle_alpha 90.00
_cell_angle_beta 109.46
_cell_angle_gamma 90.00
_symmetry_space_group_name_H-M 'P 1 2/m 1'
_symmetry_Int_Tables_number 10
_symmetry_space_group_name_Hall '-P 2y'
loop_
_atom_site_label
_atom_site_fract_x
_atom_site_fract_y
_atom_site_fract_z
Ca1 0.0000 0.0000 0.0000
Pm1 0.0000 0.5000 0.5000
Pm2 0.5000 0.0000 0.5000
Nd1 0.5000 0.5000 0.0000
As1 0.2499 0.0000 0.7473
As2 0.2526 0.5000 0.2540
```

***

No. 2
Entry from Alexandria via LeMat-Bulk: an optimized crystal structure of CaPr2Nd3As6 (GGA-PBE).

Results
DOS(E_F), states/eV/cell: 11.57
V, Å³/atom: 27.85
Energy relative to the elements, meV/atom: -1400
Crystal system: monoclinic

Structure (CIF):
```
data_CaPr2Nd3As6
_cell_length_a 18.6996
_cell_length_b 4.2859
_cell_length_c 8.5702
_cell_angle_alpha 90.00
_cell_angle_beta 103.27
_cell_angle_gamma 90.00
_symmetry_space_group_name_H-M 'C 1 2/m 1'
_symmetry_Int_Tables_number 12
_symmetry_space_group_name_Hall '-C 2y'
loop_
_atom_site_label
_atom_site_fract_x
_atom_site_fract_y
_atom_site_fract_z
Ca1 0.0000 0.0000 0.0000
Pr1 0.1657 0.5000 0.3308
Nd1 0.0000 0.0000 0.5000
Nd2 0.1661 0.5000 0.8345
As1 0.0006 0.5000 0.7471
As2 0.1666 0.0000 0.5841
As3 0.1675 0.0000 0.0825
```

***

No. 3
Entry from Alexandria via LeMat-Bulk: an optimized crystal structure of CaPr2NdAs4 (GGA-PBE).

Results
DOS(E_F), states/eV/cell: 4.67
V, Å³/atom: 27.92
Energy relative to the elements, meV/atom: -1339
Crystal system: monoclinic

Structure (CIF):
```
data_CaPr2NdAs4
_cell_length_a 7.4221
_cell_length_b 4.2945
_cell_length_c 7.4359
_cell_angle_alpha 90.00
_cell_angle_beta 109.55
_cell_angle_gamma 90.00
_symmetry_space_group_name_H-M 'P 1 2/m 1'
_symmetry_Int_Tables_number 10
_symmetry_space_group_name_Hall '-P 2y'
loop_
_atom_site_label
_atom_site_fract_x
_atom_site_fract_y
_atom_site_fract_z
Ca1 0.0000 0.0000 0.0000
Pr1 0.5000 0.0000 0.5000
Pr2 0.5000 0.5000 0.0000
Nd1 0.0000 0.5000 0.5000
As1 0.2485 0.0000 0.7486
As2 0.2501 0.5000 0.2516
```

***

No. 4
Entry from Alexandria via LeMat-Bulk: an optimized crystal structure of CaPrNd2As4 (GGA-PBE).

Results
DOS(E_F), states/eV/cell: 8.53
V, Å³/atom: 27.67
Energy relative to the elements, meV/atom: -1345
Crystal system: tetragonal

Structure (CIF):
```
data_CaPrNd2As4
_cell_length_a 6.0431
_cell_length_b 6.0431
_cell_length_c 12.1225
_cell_angle_alpha 90.00
_cell_angle_beta 90.00
_cell_angle_gamma 90.00
_symmetry_space_group_name_H-M 'I 4/m m m'
_symmetry_Int_Tables_number 139
_symmetry_space_group_name_Hall '-I 4 2'
loop_
_atom_site_label
_atom_site_fract_x
_atom_site_fract_y
_atom_site_fract_z
Ca1 0.0000 0.0000 0.0000
Pr1 0.0000 0.0000 0.5000
Nd1 0.0000 0.5000 0.2500
As1 0.0000 0.0000 0.2525
As2 0.0000 0.5000 0.0000
```

***

No. 5
Entry from Alexandria via LeMat-Bulk: an optimized crystal structure of CaNdPu2As4 (GGA-PBE).

Results
DOS(E_F), states/eV/cell: 48.78
V, Å³/atom: 26.01
Energy relative to the elements, meV/atom: -1112
Crystal system: tetragonal

Structure (CIF):
```
data_CaNdPu2As4
_cell_length_a 5.9395
_cell_length_b 5.9395
_cell_length_c 11.7987
_cell_angle_alpha 90.00
_cell_angle_beta 90.00
_cell_angle_gamma 90.00
_symmetry_space_group_name_H-M 'I 4/m m m'
_symmetry_Int_Tables_number 139
_symmetry_space_group_name_Hall '-I 4 2'
loop_
_atom_site_label
_atom_site_fract_x
_atom_site_fract_y
_atom_site_fract_z
Ca1 0.0000 0.0000 0.0000
Nd1 0.0000 0.0000 0.5000
Pu1 0.0000 0.5000 0.2500
As1 0.0000 0.0000 0.2517
As2 0.0000 0.5000 0.0000
```

***

No. 6
Entry from Alexandria via LeMat-Bulk: an optimized crystal structure of CaNdAsS (GGA-PBE).

Results
Formation energy (no corrections), kJ/mol of formula units: -670
DOS(E_F), states/eV/cell: 0.03
V, Å³/atom: 25.99
Crystal system: trigonal

Structure (CIF):
```
data_CaNdAsS
_cell_length_a 4.2008
_cell_length_b 4.2008
_cell_length_c 20.4109
_cell_angle_alpha 90.00
_cell_angle_beta 90.00
_cell_angle_gamma 120.00
_symmetry_space_group_name_H-M 'R 3 m'
_symmetry_Int_Tables_number 160
_symmetry_space_group_name_Hall 'R 3 -2"'
loop_
_atom_site_label
_atom_site_fract_x
_atom_site_fract_y
_atom_site_fract_z
Ca1 0.0000 0.0000 0.0000
Nd1 0.0000 0.0000 0.4987
As1 0.0000 0.0000 0.7514
S1 0.0000 0.0000 0.2501
```